YMg2I6: optimized geometry, GGA-PBE.

Properties
Formation energy from raw total energies   -9.684 eV per formula unit
M_tot   0.42 μB per cell
Fermi-level density of states   2.27 states/eV per cell
Space group   C2/m (12)
E_tot   -3.18 eV per atom
E above lowest polymorph   0.0 meV per atom

Lattice parameters (Å, degrees): 4.1430 8.7329 11.4183 110.93 90.00 103.72
Element x y z (fractional)
Y 0.0000 0.0000 0.5000
Mg 0.6720 0.3440 0.8382
Mg 0.3280 0.6560 0.1618
I 0.3022 0.6045 0.8891
I 0.6978 0.3956 0.1109
I 0.9612 0.9225 0.2134
I 0.6462 0.2924 0.5645
I 0.0387 0.0775 0.7866
I 0.3538 0.7076 0.4356

MnCoHgCl2: optimized geometry, GGA-PBE.

Properties
Formation energy from raw total energies   1.658 eV per formula unit
M_tot   7.03 μB per cell
Fermi-level density of states   2.94 states/eV per cell
Space group   P4/mmm (123)
E_tot   -3.72 eV per atom

Lattice parameters (Å, degrees): 4.6015 6.1454 4.6015 90.00 90.00 90.00
Element x y z (fractional)
Mn 0.0000 0.0000 0.0000
Co 0.5000 0.5000 0.5000
Hg 0.0000 0.5000 0.0000
Cl 0.0000 0.0000 0.5000
Cl 0.5000 0.0000 0.0000

TcAg2Br: optimized geometry, GGA-PBE.

Properties
Formation energy from raw total energies   2.120 eV per formula unit
M_tot   1.10 μB per cell
Fermi-level density of states   3.42 states/eV per cell
Space group   Imm2 (44)
E_tot   -3.91 eV per atom
E above lowest polymorph   116.0 meV per atom

Lattice parameters (Å, degrees): 7.0977 7.0977 7.0977 155.88 142.75 44.87
Element x y z (fractional)
Br 0.4272 0.4272 0.0000
Tc 0.2730 0.7730 0.5000
Ag 0.0853 0.0853 0.0000
Ag 0.7145 0.2145 0.5000

Li2InAs: optimized geometry, GGA-PBE.

Properties
M_tot   0.00 μB per cell
Fermi-level density of states   1.66 states/eV per cell
Formation energy   -0.2370 eV per atom
Space group   F-43m (216)
E_tot   -3.04 eV per atom

Lattice parameters (Å, degrees): 4.8696 4.8696 4.8696 60.00 60.00 60.00
Element x y z (fractional)
As 0.5000 0.5000 0.5000
In 0.2500 0.2500 0.2500
Li 0.0000 0.0000 0.0000
Li 0.7500 0.7500 0.7500

Sr2CaCu: optimized geometry, GGA-PBE.

Properties
M_tot   0.00 μB per cell
Fermi-level density of states   4.29 states/eV per cell
Formation energy   0.0965 eV per atom
Space group   C2/m (12)
E_tot   -2.27 eV per atom
E above lowest polymorph   121.2 meV per atom

Lattice parameters (Å, degrees): 7.3119 7.3119 6.0826 65.50 65.50 31.22
Element x y z (fractional)
Sr 0.9351 0.9351 0.0648
Sr 0.5649 0.5649 0.4352
Ca 0.7500 0.7500 0.7500
Cu 0.2500 0.2500 0.2500

KCr2Fe: optimized geometry, GGA-PBE.

Properties
M_tot   0.00 μB per cell
Fermi-level density of states   5.99 states/eV per cell
Formation energy   1.8288 eV per atom
Space group   Fm-3m (225)
E_tot   -5.37 eV per atom
E above lowest polymorph   1055.3 meV per atom

Lattice parameters (Å, degrees): 4.3028 4.3028 4.3028 60.00 60.00 60.00
Element x y z (fractional)
Cr 0.2500 0.2500 0.2500
Cr 0.7500 0.7500 0.7500
K 0.0000 0.0000 0.0000
Fe 0.5000 0.5000 0.5000